# 1
Compound: LiTcRh2
Source: Alexandria
Functional: PBE
Structure: relaxed

Geometry as POSCAR:
```
LiTcRh2
1.0
-3.414 3.414 2.687
3.414 -3.414 2.687
3.414 3.414 -2.687
Li Tc Rh
2 2 4
Direct
0.000 0.000 0.000
0.750 0.250 0.500
0.250 0.750 0.500
0.500 0.500 0.000
0.148 0.625 0.023
0.375 0.398 0.523
0.602 0.125 0.977
0.875 0.852 0.477
```

Output
total DFT energy (no corrections) = -6.310 eV per atom
density = 8.24 g/cm3
energy relative to the elements = 436 meV per atom

---

# 2
Compound: LiTcRh2
Source: Alexandria
Functional: PBE
Structure: relaxed

Geometry as POSCAR:
```
LiTcRh2
1.0
-1.967 1.967 3.528
1.967 -1.967 3.528
1.967 1.967 -3.528
Li Tc Rh
1 1 2
Direct
0.000 0.000 0.000
0.500 0.500 0.000
0.250 0.750 0.500
0.750 0.250 0.500
```

Output
total DFT energy (no corrections) = -6.755 eV per atom
density = 9.44 g/cm3
energy relative to the elements = -9 meV per atom